# 1
First-principles (PBE-GGA) data for crystalline PmDyEr2Tm6 at its relaxed geometry, as listed in Alexandria via LeMat-Bulk.

Cell lengths 8.998, 14.876, 9.390 Å; angles 90.00, 96.62, 90.00 degrees
Space group C2/c (No. 15)
One atom of each set of equivalent atoms:
1 Pm 0.000 0.027 0.250 (multiplicity 4)
2 Dy 0.000 0.410 0.750 (multiplicity 4)
3 Er 0.249 0.446 0.453 (multiplicity 8)
4 Tm 0.062 0.186 0.942 (multiplicity 8)
5 Tm 0.100 0.391 0.117 (multiplicity 8)
6 Tm 0.207 0.226 0.318 (multiplicity 8)

## Properties
For the volume, the calculation gives 31.21 Å³/atom. The total DFT energy (no corrections) comes out at -176.260 eV for the cell shown. As for the formation energy from the elements: 124.2 meV/atom.

---

# 2
First-principles (PBE-GGA) data for crystalline Ac3In9Au2 at its relaxed geometry, as listed in Alexandria via LeMat-Bulk.

Cell lengths 4.886, 11.440, 13.778 Å; angles 90.00, 90.00, 90.00 degrees
Space group Immm (No. 71)
One atom of each set of equivalent atoms:
1 Ac 0.000 0.000 0.000 (multiplicity 2)
2 Ac 0.000 0.000 0.322 (multiplicity 4)
3 In 0.000 0.275 0.132 (multiplicity 8)
4 In 0.000 0.371 0.339 (multiplicity 8)
5 In 0.000 0.500 0.000 (multiplicity 2)
6 Au 0.000 0.203 0.500 (multiplicity 4)

## Properties
For the volume, the calculation gives 27.50 Å³/atom. The total DFT energy (no corrections) comes out at -99.050 eV for the cell shown. As for the formation energy from the elements: -428.5 meV/atom.

---

# 3
First-principles (PBE-GGA) data for crystalline Re2PtAu at its relaxed geometry, as listed in Alexandria via LeMat-Bulk.

Cell lengths 9.388, 2.712, 4.979 Å; angles 90.00, 98.61, 90.00 degrees
Space group Cm (No. 8)
One atom of each set of equivalent atoms:
1 Re 0.000 0.000 0.000 (multiplicity 2)
2 Re 0.244 0.000 0.781 (multiplicity 2)
3 Pt 0.237 0.500 0.261 (multiplicity 2)
4 Au 0.493 0.000 0.507 (multiplicity 2)

## Properties
For the volume, the calculation gives 15.67 Å³/atom. The calculation puts the excess energy over the best structure of this formula in the dataset at 159 meV per atom. The total DFT energy (no corrections) comes out at -66.580 eV for the cell shown. As for the formation energy from the elements: 231.1 meV/atom.

---

# 4
First-principles (PBE-GGA) data for crystalline IrRuO at its relaxed geometry, as listed in Alexandria via LeMat-Bulk.

Cell lengths 2.727, 2.747, 5.044 Å; angles 90.00, 90.00, 90.00 degrees
Space group Pmm2 (No. 25)
One atom of each set of equivalent atoms:
1 Ir 0.000 0.000 0.000 (multiplicity 1)
2 Ru 0.500 0.500 0.639 (multiplicity 1)
3 O 0.000 0.500 0.334 (multiplicity 1)

## Properties
For the volume, the calculation gives 12.60 Å³/atom. The calculation puts the excess energy over the best structure of this formula in the dataset at 145 meV per atom. The total DFT energy (no corrections) comes out at -23.438 eV for the cell shown. For the uncorrected formation energy, the calculation gives -114 meV per atom.

---

The highest volume belongs to which entry?
PmDyEr2Tm6

---

The lowest volume belongs to which entry?
IrRuO

---

The lowest volume belongs to which entry?
IrRuO